The following is a DFT calculation (PBE-GGA) of CaAlP2O after structural relaxation.

abc: 5.2970 5.2970 4.1436
angles: 90.00 90.00 90.00
Closest atoms and distances in Å follow each position.
Fractional positions:
P: 0.0000 0.5000 0.0000  2 Ca 2.65
P: 0.5000 0.0000 0.0000  2 Ca 2.65
Ca: 0.0000 0.0000 0.0000  2 O 2.07
Al: 0.5000 0.5000 0.5000  8 P 3.36, 4 O 3.75
O: 0.0000 0.0000 0.5000  2 Ca 2.07

**VASP energy**: -18.86 eV for the cell shown
**Magnetization**: 1.3 μB/cell
**N(E_F)**: 4.91 states/eV/cell
**Relative energy among the computed polymorphs**: 1295 meV/atom